Below is a geometry-optimized La2SmDy6 structure, with properties calculated at the GGA-PBE level.

Summary:
- Total magnetic moment: 0.000 μB per formula unit
- Offset from the most stable computed form: 0 meV/atom
- Symmetry: No. 71
- ΔE_f: 0.98 eV per formula unit
- Volume: 33.35 A^3/atom

abc: 3.520 9.868 9.868
angles: 63.56 79.75 79.75
Positions (direct):
La 0.843 0.657 0.657
La 0.157 0.343 0.343
Sm 0.000 0.000 0.000
Dy 0.822 0.343 0.011
Dy 0.178 0.989 0.657
Dy 0.178 0.657 0.989
Dy 0.500 0.310 0.690
Dy 0.822 0.011 0.343
Dy 0.500 0.690 0.310